An optimized crystal structure of ErPb2Au, computed with PBE.

The structure in POSCAR format:
```
ErPb2Au
1.0
4.551 0.000 0.000
0.000 4.712 0.000
0.000 0.000 4.712
Pb Au Er
2 1 1
Direct
0.000 0.000 0.500 Pb
0.000 0.500 0.000 Pb
0.500 0.000 0.000 Au
0.500 0.500 0.500 Er
```

Computed properties:
Space group: P4/mmm (123)
Final energy, eV per atom: -4.168
Calculated formation energy, eV per formula unit: -1.416
Distance to the lowest polymorph of the same formula, kJ/mol of atoms: 0.00
Magnetization, μB per formula unit: 0.0